--- A ---
VASP calculation (PBE) on a relaxed ErUP2 crystal.

Cell lengths 3.845, 3.845, 7.303 Å; angles 74.74, 74.74, 60.00 degrees
Site moments in Bohr magnetons follow the coordinates.
Element x y z (fractional)
U1 0.498 0.498 0.507  2.37
P1 0.082 0.082 0.755  -0.06
P2 0.251 0.251 0.247  -0.06
Er1 0.669 0.669 0.992  0.06

Computed properties:
- SG = No. 160
- M_tot (μB per cell) = 2.787

--- B ---
VASP calculation (PBE) on a relaxed ErUP2 crystal.

Cell lengths 3.930, 3.930, 6.908 Å; angles 73.48, 73.48, 60.00 degrees
Site moments in Bohr magnetons follow the coordinates.
Element x y z (fractional)
P1 0.749 0.749 0.752  -0.05
Er1 0.500 0.500 0.500  0.01
P2 0.251 0.251 0.248  -0.05
U1 0.000 0.000 0.000  2.09

Computed properties:
- SG = No. 166
- M_tot (μB per cell) = 2.294

Which one is most stable, and which one is least stable? B is the most stable of them, while A is the least stable.

--- A ---
VASP calculation (PBE) on a relaxed ErP2W crystal.

Cell lengths 3.767, 3.767, 6.259 Å; angles 72.48, 72.48, 60.00 degrees
Site moments in Bohr magnetons follow the coordinates.
Element x y z (fractional)
Er1 0.500 0.500 0.500  0.01
P1 0.262 0.262 0.215  -0.01
P2 0.738 0.738 0.785  -0.01
W1 0.000 0.000 0.000  0.53

Computed properties:
- SG = No. 166
- M_tot (μB per cell) = 0.640

--- B ---
VASP calculation (PBE) on a relaxed ErP2W crystal.

Cell lengths 3.134, 3.134, 6.674 Å; angles 90.00, 90.00, 90.00 degrees
Element x y z (fractional)
P1 0.000 0.000 0.791
Er1 0.500 0.500 0.500
W1 0.500 0.500 0.000
P2 0.000 0.000 0.209

Computed properties:
- SG = No. 123
- M_tot (μB per cell) = 0.000

Which one is most stable, and which one is least stable? A is the most stable of them, while B is the least stable.

--- A ---
VASP calculation (PBE) on a relaxed ErZr2P crystal.

Cell lengths 3.629, 3.629, 8.562 Å; angles 77.76, 77.76, 60.00 degrees
Element x y z (fractional)
P1 0.667 0.667 0.999
Zr1 0.059 0.059 0.822
Er1 0.500 0.500 0.499
Zr2 0.274 0.274 0.179

Computed properties:
- SG = No. 160
- M_tot (μB per cell) = 0.000

--- B ---
VASP calculation (PBE) on a relaxed ErZr2P crystal.

Cell lengths 3.534, 3.534, 9.529 Å; angles 79.31, 79.31, 60.00 degrees
Element x y z (fractional)
Zr1 0.113 0.113 0.660
Er1 0.000 0.000 0.000
Zr2 0.887 0.887 0.340
P1 0.500 0.500 0.500

Computed properties:
- SG = No. 166
- M_tot (μB per cell) = 0.000

Which one is most stable, and which one is least stable? A is the most stable of them, while B is the least stable.

--- A ---
VASP calculation (PBE) on a relaxed Er3Pa crystal.

Cell lengths 5.506, 5.506, 5.506 Å; angles 60.00, 60.00, 60.00 degrees
Site moments in Bohr magnetons follow the coordinates.
Element x y z (fractional)
Pa1 0.500 0.500 0.500  0.06
Er1 0.000 0.000 0.000  0.01
Er2 0.250 0.250 0.250  0.01
Er3 0.750 0.750 0.750  0.01

Computed properties:
- SG = No. 225
- M_tot (μB per cell) = 0.102

--- B ---
VASP calculation (PBE) on a relaxed Er3Pa crystal.

Cell lengths 3.407, 5.615, 6.061 Å; angles 90.00, 90.00, 90.00 degrees
Site moments in Bohr magnetons follow the coordinates.
Element x y z (fractional)
Er1 0.000 0.500 0.320  0.00
Pa1 0.000 0.000 0.999  0.23
Er2 0.500 0.000 0.513  0.01
Er3 0.500 0.500 0.835  0.01

Computed properties:
- SG = No. 25
- M_tot (μB per cell) = 0.299

Which one is most stable, and which one is least stable? B is the most stable of them, while A is the least stable.

--- A ---
VASP calculation (PBE) on a relaxed Er3Pa crystal.

Cell lengths 4.867, 4.867, 4.867 Å; angles 90.00, 90.00, 90.00 degrees
Element x y z (fractional)
Er1 0.500 0.000 0.500
Er2 0.500 0.500 0.000
Pa1 0.000 0.000 0.000
Er3 0.000 0.500 0.500

Computed properties:
- SG = No. 221
- M_tot (μB per cell) = 0.002

--- B ---
VASP calculation (PBE) on a relaxed Er3Pa crystal.

Cell lengths 4.879, 4.879, 5.973 Å; angles 114.11, 114.11, 90.00 degrees
Element x y z (fractional)
Pa1 0.000 0.000 0.000
Er1 0.500 0.500 0.000
Er2 0.250 0.750 0.500
Er3 0.750 0.250 0.500

Computed properties:
- SG = No. 139
- M_tot (μB per cell) = 0.033

--- C ---
VASP calculation (PBE) on a relaxed Er3Pa crystal.

Cell lengths 3.431, 6.016, 6.593 Å; angles 117.14, 105.08, 90.00 degrees
Element x y z (fractional)
Pa1 0.000 0.993 0.000
Er1 0.500 0.502 0.000
Er2 0.745 0.081 0.490
Er3 0.255 0.591 0.510

Computed properties:
- SG = No. 44
- M_tot (μB per cell) = 0.004

Which one is most stable, and which one is least stable? C is the most stable of them, while B is the least stable.

--- A ---
VASP calculation (PBE) on a relaxed Er2Pa crystal.

Cell lengths 3.425, 3.426, 8.564 Å; angles 78.44, 78.43, 60.08 degrees
Element x y z (fractional)
Er1 0.055 0.798 0.231
Pa1 0.282 0.025 0.553
Er2 0.508 0.253 0.875

Computed properties:
- SG = No. 12
- M_tot (μB per cell) = 0.000

--- B ---
VASP calculation (PBE) on a relaxed Er2Pa crystal.

Cell lengths 3.388, 3.388, 7.830 Å; angles 102.49, 102.49, 89.93 degrees
Site moments in Bohr magnetons follow the coordinates.
Element x y z (fractional)
Er1 0.842 0.842 0.684  0.00
Er2 0.158 0.158 0.316  0.00
Pa1 0.500 0.500 0.000  0.08

Computed properties:
- SG = No. 139
- M_tot (μB per cell) = 0.100

Which one is most stable, and which one is least stable? A is the most stable of them, while B is the least stable.

--- A ---
VASP calculation (PBE) on a relaxed ErPa2 crystal.

Cell lengths 6.136, 6.136, 6.136 Å; angles 60.00, 60.00, 60.00 degrees
Element x y z (fractional)
Pa1 0.625 0.625 0.625
Pa2 0.625 0.625 0.125
Er1 0.000 0.000 0.000
Er2 0.250 0.250 0.250
Pa3 0.125 0.625 0.625
Pa4 0.625 0.125 0.625

Computed properties:
- SG = No. 227
- M_tot (μB per cell) = 0.004

--- B ---
VASP calculation (PBE) on a relaxed ErPa2 crystal.

Cell lengths 3.598, 3.598, 6.692 Å; angles 105.59, 105.59, 90.00 degrees
Element x y z (fractional)
Er1 0.000 0.000 0.000
Pa1 0.686 0.686 0.372
Pa2 0.314 0.314 0.628

Computed properties:
- SG = No. 139
- M_tot (μB per cell) = 0.000

Which one is most stable, and which one is least stable? A is the most stable of them, while B is the least stable.

--- A ---
VASP calculation (PBE) on a relaxed ErPaPb crystal.

Cell lengths 4.068, 4.068, 10.020 Å; angles 90.00, 90.00, 90.00 degrees
Element x y z (fractional)
Pb1 0.000 0.500 0.594
Pa1 0.000 0.500 0.927
Pb2 0.500 0.000 0.406
Er1 0.000 0.500 0.259
Pa2 0.500 0.000 0.073
Er2 0.500 0.000 0.741

Computed properties:
- SG = No. 129
- M_tot (μB per cell) = 0.000

--- B ---
VASP calculation (PBE) on a relaxed ErPaPb crystal.

Cell lengths 3.178, 5.438, 5.438 Å; angles 120.00, 90.00, 90.00 degrees
Site moments in Bohr magnetons follow the coordinates.
Element x y z (fractional)
Pb1 0.666 0.667 0.333  0.00
Pa1 0.163 0.000 0.000  0.95
Er1 0.171 0.333 0.667  0.23

Computed properties:
- SG = No. 156
- M_tot (μB per cell) = 1.366

Which one is most stable, and which one is least stable? A is the most stable of them, while B is the least stable.